# Ce2AlRh2, optimized geometry, DFT PBE-GGA
# volume: 416 Å³ per cell
# raw total energy: -6.8466 eV/atom
# energy of formation from the pure elements: -75.6 kJ per mole of atoms
# calculated density: 8.18 g/cm3
# total moment: 0.9 μB/f.u.
data_Ce2AlRh2
_symmetry_space_group_name_H-M 'C 1 2/c 1'
_symmetry_Int_Tables_number 15
_cell_length_a 10.061
_cell_length_b 5.433
_cell_length_c 7.979
_cell_angle_alpha 90.00
_cell_angle_beta 107.25
_cell_angle_gamma 90.00
loop_
_symmetry_equiv_pos_as_xyz
'x,y,z'
'-x,-y,-z'
'-x,y,-z+1/2'
'x,-y,z+1/2'
'x+1/2,y+1/2,z'
'-x+1/2,-y+1/2,-z'
'-x+1/2,y+1/2,-z+1/2'
'x+1/2,-y+1/2,z+1/2'
loop_
_atom_site_label
_atom_site_fract_x
_atom_site_fract_y
_atom_site_fract_z
_atom_site_occupancy
Ce1 0.148 0.154 0.149 1
Al1 0.000 0.354 0.750 1
Rh1 0.130 0.363 0.515 1

# Ce2Al5Rh3, optimized geometry, DFT PBE-GGA
# volume: 727 Å³ per cell
# raw total energy: -6.0548 eV/atom
# energy of formation from the pure elements: -76.4 kJ per mole of atoms
# calculated density: 6.61 g/cm3
# total moment: 0.0 μB/f.u.
data_Ce2Al5Rh3
_symmetry_space_group_name_H-M 'C m c 21'
_symmetry_Int_Tables_number 36
_cell_length_a 4.262
_cell_length_b 25.082
_cell_length_c 6.803
_cell_angle_alpha 90.00
_cell_angle_beta 90.00
_cell_angle_gamma 90.00
loop_
_symmetry_equiv_pos_as_xyz
'x,y,z'
'-x,-y,z+1/2'
'-x,y,z'
'x,-y,z+1/2'
'x+1/2,y+1/2,z'
'-x+1/2,-y+1/2,z+1/2'
'-x+1/2,y+1/2,z'
'x+1/2,-y+1/2,z+1/2'
loop_
_atom_site_label
_atom_site_fract_x
_atom_site_fract_y
_atom_site_fract_z
_atom_site_occupancy
Ce1 0.000 0.024 0.000 1
Ce2 0.000 0.325 0.071 1
Al1 0.000 0.101 0.377 1
Al2 0.000 0.206 0.891 1
Al3 0.000 0.211 0.282 1
Al4 0.000 0.370 0.539 1
Al5 0.000 0.444 0.164 1
Rh1 0.000 0.107 0.767 1
Rh2 0.000 0.270 0.589 1
Rh3 0.000 0.452 0.783 1

# CeAlRh2, optimized geometry, DFT PBE-GGA
# volume: 70 Å³ per cell
# raw total energy: -6.8388 eV/atom
# energy of formation from the pure elements: -71.8 kJ per mole of atoms
# calculated density: 8.82 g/cm3
# total moment: 0.3 μB/f.u.
data_CeAlRh2
_symmetry_space_group_name_H-M 'P 4/m m m'
_symmetry_Int_Tables_number 123
_symmetry_space_group_name_Hall '-P 4 2'
_cell_length_a 4.454
_cell_length_b 4.454
_cell_length_c 3.539
_cell_angle_alpha 90.00
_cell_angle_beta 90.00
_cell_angle_gamma 90.00
loop_
_atom_site_label
_atom_site_fract_x
_atom_site_fract_y
_atom_site_fract_z
_atom_site_occupancy
Ce1 0.000 0.000 0.000 1
Al1 0.500 0.500 0.000 1
Rh1 0.000 0.500 0.500 1

# Ce5AlRh, optimized geometry, DFT PBE-GGA
# volume: 680 Å³ per cell
# raw total energy: -6.0181 eV/atom
# energy of formation from the pure elements: -18.8 kJ per mole of atoms
# calculated density: 8.11 g/cm3
# total moment: 1.1 μB/f.u.
data_Ce5AlRh
_symmetry_space_group_name_H-M 'C 1 2/c 1'
_symmetry_Int_Tables_number 15
_cell_length_a 13.210
_cell_length_b 6.278
_cell_length_c 8.742
_cell_angle_alpha 90.00
_cell_angle_beta 110.26
_cell_angle_gamma 90.00
loop_
_symmetry_equiv_pos_as_xyz
'x,y,z'
'-x,-y,-z'
'-x,y,-z+1/2'
'x,-y,z+1/2'
'x+1/2,y+1/2,z'
'-x+1/2,-y+1/2,-z'
'-x+1/2,y+1/2,-z+1/2'
'x+1/2,-y+1/2,z+1/2'
loop_
_atom_site_label
_atom_site_fract_x
_atom_site_fract_y
_atom_site_fract_z
_atom_site_occupancy
Ce1 0.000 0.245 0.250 1
Ce2 0.131 0.008 0.568 1
Ce3 0.221 0.482 0.101 1
Al1 0.000 0.260 0.750 1
Rh1 0.000 0.500 0.000 1

# CeAl2Rh, optimized geometry, DFT PBE-GGA
# volume: 167 Å³ per cell
# raw total energy: -5.8094 eV/atom
# energy of formation from the pure elements: -59.5 kJ per mole of atoms
# calculated density: 5.90 g/cm3
# total moment: 0.0 μB/f.u.
data_CeAl2Rh
_symmetry_space_group_name_H-M 'A m m 2'
_symmetry_Int_Tables_number 38
_cell_length_a 4.458
_cell_length_b 7.422
_cell_length_c 5.056
_cell_angle_alpha 90.00
_cell_angle_beta 90.00
_cell_angle_gamma 90.00
loop_
_symmetry_equiv_pos_as_xyz
'x,y,z'
'-x,-y,z'
'-x,y,z'
'x,-y,z'
'x,y+1/2,z+1/2'
'-x,-y+1/2,z+1/2'
'-x,y+1/2,z+1/2'
'x,-y+1/2,z+1/2'
loop_
_atom_site_label
_atom_site_fract_x
_atom_site_fract_y
_atom_site_fract_z
_atom_site_occupancy
Ce1 0.000 0.000 0.000 1
Al1 0.500 0.175 0.499 1
Rh1 0.000 0.000 0.500 1

# Ce5AlRh4, optimized geometry, DFT PBE-GGA
# volume: 434 Å³ per cell
# raw total energy: -6.8719 eV/atom
# energy of formation from the pure elements: -56.9 kJ per mole of atoms
# calculated density: 8.73 g/cm3
# total moment: 0.0 μB/f.u.
data_Ce5AlRh4
_symmetry_space_group_name_H-M 'C 1 2/m 1'
_symmetry_Int_Tables_number 12
_cell_length_a 15.259
_cell_length_b 4.319
_cell_length_c 6.771
_cell_angle_alpha 90.00
_cell_angle_beta 103.69
_cell_angle_gamma 90.00
loop_
_symmetry_equiv_pos_as_xyz
'x,y,z'
'-x,-y,-z'
'-x,y,-z'
'x,-y,z'
'x+1/2,y+1/2,z'
'-x+1/2,-y+1/2,-z'
'-x+1/2,y+1/2,-z'
'x+1/2,-y+1/2,z'
loop_
_atom_site_label
_atom_site_fract_x
_atom_site_fract_y
_atom_site_fract_z
_atom_site_occupancy
Ce1 0.000 0.000 0.000 1
Ce2 0.164 0.500 0.061 1
Ce3 0.168 0.500 0.488 1
Al1 0.000 0.000 0.500 1
Rh1 0.018 0.500 0.721 1
Rh2 0.157 0.000 0.766 1

# CeAl2Rh, optimized geometry, DFT PBE-GGA
# volume: 246 Å³ per cell
# raw total energy: -5.8234 eV/atom
# energy of formation from the pure elements: -60.9 kJ per mole of atoms
# calculated density: 6.01 g/cm3
# total moment: 0.9 μB/f.u.
data_CeAl2Rh
_symmetry_space_group_name_H-M 'R -3 m'
_symmetry_Int_Tables_number 166
_symmetry_space_group_name_Hall '-R 3 2"'
_cell_length_a 4.2221
_cell_length_b 4.2221
_cell_length_c 15.9512
_cell_angle_alpha 90.00
_cell_angle_beta 90.00
_cell_angle_gamma 120.00
loop_
_atom_site_label
_atom_site_fract_x
_atom_site_fract_y
_atom_site_fract_z
_atom_site_occupancy
Ce1 0.0000 0.0000 0.0000 1
Al1 0.0000 0.0000 0.2077 1
Rh1 0.0000 0.0000 0.5000 1

# CeAlRh, optimized geometry, DFT PBE-GGA
# volume: 112 Å³ per cell
# raw total energy: -6.3558 eV/atom
# energy of formation from the pure elements: -65.6 kJ per mole of atoms
# calculated density: 8.01 g/cm3
# total moment: 0.0 μB/f.u.
data_CeAlRh
_symmetry_space_group_name_H-M 'I 4 m m'
_symmetry_Int_Tables_number 107
_symmetry_space_group_name_Hall 'I 4 -2'
_cell_length_a 3.085
_cell_length_b 3.085
_cell_length_c 11.768
_cell_angle_alpha 90.00
_cell_angle_beta 90.00
_cell_angle_gamma 90.00
loop_
_atom_site_label
_atom_site_fract_x
_atom_site_fract_y
_atom_site_fract_z
_atom_site_occupancy
Ce1 0.000 0.000 0.000 1
Al1 0.000 0.000 0.293 1
Rh1 0.000 0.000 0.680 1

Question: Which of these has the highest energy of formation from the pure elements?
Answer: Ce5AlRh

Please write out number 7 again, unchanged.
# CeAl2Rh, optimized geometry, DFT PBE-GGA
# volume: 246 Å³ per cell
# raw total energy: -5.8234 eV/atom
# energy of formation from the pure elements: -60.9 kJ per mole of atoms
# calculated density: 6.01 g/cm3
# total moment: 0.9 μB/f.u.
data_CeAl2Rh
_symmetry_space_group_name_H-M 'R -3 m'
_symmetry_Int_Tables_number 166
_symmetry_space_group_name_Hall '-R 3 2"'
_cell_length_a 4.2221
_cell_length_b 4.2221
_cell_length_c 15.9512
_cell_angle_alpha 90.00
_cell_angle_beta 90.00
_cell_angle_gamma 120.00
loop_
_atom_site_label
_atom_site_fract_x
_atom_site_fract_y
_atom_site_fract_z
_atom_site_occupancy
Ce1 0.0000 0.0000 0.0000 1
Al1 0.0000 0.0000 0.2077 1
Rh1 0.0000 0.0000 0.5000 1